--- P ---
Here is a relaxed structure of SiSn2Pt2 from the Alexandria database. Energies are from PBE.

Summary:
For the density of states at the Fermi level, the calculation gives 5.77 states/eV per cell. The value obtained for the density is 10.9 g/cm³. The total magnetization comes out at 0.00 μB per formula unit. As for the space-group type: P4/mbm (127).

Geometry as POSCAR:
```
SiSn2Pt2
1.0
-0.839 -0.819 7.976
-4.571 -6.539 -1.152
2.505 -1.765 0.082
Si Sn Pt
2 4 4
Direct
0.000 0.000 0.000 Si
0.500 0.500 0.000 Si
0.334 0.834 0.000 Sn
0.834 0.666 0.000 Sn
0.666 0.166 0.000 Sn
0.166 0.334 0.000 Sn
0.127 0.627 0.500 Pt
0.627 0.873 0.500 Pt
0.873 0.373 0.500 Pt
0.373 0.127 0.500 Pt
```

***

--- Q ---
Here is a relaxed structure of SiSn2Pt2 from the Alexandria database. Energies are from PBE.

Summary:
For the density of states at the Fermi level, the calculation gives 3.51 states/eV per cell. The value obtained for the density is 10.8 g/cm³. The total magnetization comes out at 0.00 μB per formula unit. As for the space-group type: P4/mbm (127).

Geometry as POSCAR:
```
SiSn2Pt2
1.0
-2.257 -2.583 -5.572
5.829 0.970 -2.811
1.387 -4.254 1.410
Si Sn Pt
2 4 4
Direct
0.000 0.000 0.000 Si
0.500 0.500 0.000 Si
0.169 0.669 0.500 Sn
0.669 0.831 0.500 Sn
0.831 0.331 0.500 Sn
0.331 0.169 0.500 Sn
0.342 0.842 0.000 Pt
0.842 0.658 0.000 Pt
0.658 0.158 0.000 Pt
0.158 0.342 0.000 Pt
```

***

Most stable = Q

***

--- P ---
Here is a relaxed structure of Sr2Si2Pt from the Alexandria database. Energies are from PBE.

Summary:
For the density of states at the Fermi level, the calculation gives 1.81 states/eV per cell. The value obtained for the density is 5.9 g/cm³. The total magnetization comes out at 0.00 μB per formula unit. As for the space-group type: Amm2 (38).

Geometry as POSCAR:
```
Sr2Si2Pt
1.0
4.538 0.000 0.000
0.000 3.945 -1.280
0.000 0.000 6.720
Sr Si Pt
2 2 1
Direct
0.000 0.682 0.365 Sr
0.000 0.934 0.867 Sr
0.500 0.310 0.620 Si
0.500 0.503 0.006 Si
0.500 0.113 0.226 Pt
```

***

--- Q ---
Here is a relaxed structure of Sr2Si2Pt from the Alexandria database. Energies are from PBE.

Summary:
For the density of states at the Fermi level, the calculation gives 3.83 states/eV per cell. The value obtained for the density is 5.3 g/cm³. The total magnetization comes out at 0.00 μB per formula unit. As for the space-group type: I4/mmm (139).

Geometry as POSCAR:
```
Sr2Si2Pt
1.0
-2.344 5.517 1.568
-2.218 -2.434 5.249
0.670 2.337 5.024
Sr Si Pt
2 2 1
Direct
0.750 0.250 0.500 Sr
0.250 0.750 0.500 Sr
0.338 0.338 0.325 Si
0.662 0.662 0.675 Si
0.000 0.000 0.000 Pt
```

***

Most stable = P

***

--- P ---
Here is a relaxed structure of SrSi4Pt4 from the Alexandria database. Energies are from PBE.

Summary:
For the density of states at the Fermi level, the calculation gives 3.69 states/eV per cell. The value obtained for the density is 9.8 g/cm³. The total magnetization comes out at 0.00 μB per formula unit. As for the space-group type: I4/m (87).

Geometry as POSCAR:
```
SrSi4Pt4
1.0
-2.510 -3.579 1.618
6.870 -3.127 3.741
-1.787 4.399 6.959
Sr Si Pt
2 8 8
Direct
0.000 0.000 0.000 Sr
0.500 0.500 0.500 Sr
0.500 0.385 0.885 Si
0.000 0.615 0.885 Si
0.500 0.615 0.115 Si
0.000 0.115 0.615 Si
0.500 0.885 0.615 Si
0.000 0.885 0.385 Si
0.000 0.385 0.115 Si
0.500 0.115 0.385 Si
0.500 0.835 0.315 Pt
0.500 0.165 0.685 Pt
0.000 0.815 0.665 Pt
0.000 0.335 0.815 Pt
0.000 0.665 0.185 Pt
0.500 0.315 0.165 Pt
0.500 0.685 0.835 Pt
0.000 0.185 0.335 Pt
```

***

--- Q ---
Here is a relaxed structure of SrSi4Pt4 from the Alexandria database. Energies are from PBE.

Summary:
For the density of states at the Fermi level, the calculation gives 2.82 states/eV per cell. The value obtained for the density is 10.4 g/cm³. The total magnetization comes out at 0.00 μB per formula unit. As for the space-group type: P4_2/nmc (137).

Geometry as POSCAR:
```
SrSi4Pt4
1.0
6.150 0.000 0.000
0.000 6.150 0.000
0.000 0.000 8.265
Sr Si Pt
2 8 8
Direct
0.000 0.000 0.000 Sr
0.500 0.500 0.500 Sr
0.500 0.796 0.838 Si
0.500 0.204 0.838 Si
0.796 0.500 0.162 Si
0.204 0.500 0.162 Si
0.296 0.000 0.338 Si
0.704 0.000 0.338 Si
0.000 0.296 0.662 Si
0.000 0.704 0.662 Si
0.227 0.500 0.865 Pt
0.773 0.500 0.865 Pt
0.500 0.773 0.135 Pt
0.500 0.227 0.135 Pt
0.000 0.727 0.365 Pt
0.000 0.273 0.365 Pt
0.273 0.000 0.635 Pt
0.727 0.000 0.635 Pt
```

***

Most stable = P

***

--- P ---
Here is a relaxed structure of TbSi2Pt4 from the Alexandria database. Energies are from PBE.

Summary:
For the density of states at the Fermi level, the calculation gives 4.19 states/eV per cell. The value obtained for the density is 14.0 g/cm³. The total magnetization comes out at 0.00 μB per formula unit. As for the space-group type: Cmmm (65).

Geometry as POSCAR:
```
TbSi2Pt4
1.0
4.120 0.000 0.000
0.000 4.114 0.000
0.000 -2.057 6.943
Tb Si Pt
1 2 4
Direct
0.000 0.000 0.000 Tb
0.500 0.585 0.169 Si
0.500 0.415 0.831 Si
0.500 0.826 0.652 Pt
0.000 0.671 0.342 Pt
0.500 0.174 0.348 Pt
0.000 0.329 0.658 Pt
```

***

--- Q ---
Here is a relaxed structure of TbSi2Pt4 from the Alexandria database. Energies are from PBE.

Summary:
For the density of states at the Fermi level, the calculation gives 13.88 states/eV per cell. The value obtained for the density is 14.1 g/cm³. The total magnetization comes out at 0.00 μB per formula unit. As for the space-group type: Pnma (62).

Geometry as POSCAR:
```
TbSi2Pt4
1.0
4.203 0.000 0.000
0.000 6.698 0.000
0.000 0.000 16.681
Tb Si Pt
4 8 16
Direct
0.750 0.963 0.642 Tb
0.250 0.037 0.358 Tb
0.250 0.463 0.858 Tb
0.750 0.537 0.142 Tb
0.250 0.754 0.535 Si
0.750 0.246 0.465 Si
0.750 0.254 0.965 Si
0.250 0.746 0.035 Si
0.250 0.907 0.793 Si
0.750 0.093 0.207 Si
0.750 0.407 0.707 Si
0.250 0.593 0.293 Si
0.250 0.212 0.715 Pt
0.750 0.788 0.285 Pt
0.750 0.712 0.785 Pt
0.250 0.288 0.215 Pt
0.250 0.627 0.671 Pt
0.750 0.373 0.329 Pt
0.750 0.127 0.829 Pt
0.250 0.873 0.171 Pt
0.250 0.129 0.532 Pt
0.750 0.871 0.468 Pt
0.750 0.629 0.968 Pt
0.250 0.371 0.032 Pt
0.250 0.492 0.436 Pt
0.750 0.508 0.564 Pt
0.750 0.992 0.064 Pt
0.250 0.008 0.936 Pt
```

***

Most stable = Q

***

--- P ---
Here is a relaxed structure of SiTcPt from the Alexandria database. Energies are from PBE.

Summary:
For the density of states at the Fermi level, the calculation gives 2.73 states/eV per cell. The value obtained for the density is 12.6 g/cm³. The total magnetization comes out at 0.00 μB per formula unit. As for the space-group type: I4mm (107).

Geometry as POSCAR:
```
SiTcPt
1.0
-1.198 -2.294 4.628
2.714 -0.841 4.477
-1.412 3.406 -3.810
Pt Si Tc
1 1 1
Direct
0.984 0.984 0.000 Pt
0.328 0.328 0.000 Si
0.688 0.688 0.000 Tc
```

***

--- Q ---
Here is a relaxed structure of SiTcPt from the Alexandria database. Energies are from PBE.

Summary:
For the density of states at the Fermi level, the calculation gives 3.04 states/eV per cell. The value obtained for the density is 12.4 g/cm³. The total magnetization comes out at 0.00 μB per formula unit. As for the space-group type: P3m1 (156).

Geometry as POSCAR:
```
SiTcPt
1.0
-2.389 1.015 -1.152
0.037 -0.787 2.728
1.643 5.716 1.627
Pt Si Tc
1 1 1
Direct
0.000 0.000 0.021 Pt
0.667 0.333 0.337 Si
0.333 0.667 0.641 Tc
```

***

Most stable = P

***

--- P ---
Here is a relaxed structure of SiTc3Pt from the Alexandria database. Energies are from PBE.

Summary:
For the density of states at the Fermi level, the calculation gives 8.14 states/eV per cell. The value obtained for the density is 8.1 g/cm³. The total magnetization comes out at 2.89 μB per formula unit. As for the space-group type: Pm-3m (221).

Geometry as POSCAR:
```
SiTc3Pt
1.0
-0.924 3.243 3.332
-4.392 0.507 -1.712
-1.528 -3.420 2.905
Si Tc Pt
1 3 1
Direct
0.500 0.500 0.500 Si
0.000 0.500 0.000 Tc
0.000 0.000 0.500 Tc
0.500 0.000 0.000 Tc
0.000 0.000 0.000 Pt
```

***

--- Q ---
Here is a relaxed structure of SiTc3Pt from the Alexandria database. Energies are from PBE.

Summary:
For the density of states at the Fermi level, the calculation gives 4.90 states/eV per cell. The value obtained for the density is 10.4 g/cm³. The total magnetization comes out at 0.00 μB per formula unit. As for the space-group type: Pm-3m (221).

Geometry as POSCAR:
```
SiTc3Pt
1.0
4.352 0.000 0.000
0.000 4.352 0.000
0.000 0.000 4.352
Si Tc Pt
1 3 1
Direct
0.000 0.000 0.000 Si
0.000 0.500 0.000 Tc
0.000 0.000 0.500 Tc
0.500 0.000 0.000 Tc
0.500 0.500 0.500 Pt
```

***

Most stable = Q